Record 1
Compound: KLi2ReAg
Source: Alexandria
Functional: meta-GGA SCAN
Structure: single point on PBEsol structure

## Properties
total energy = -22.12 eV per atom
total magnetic moment = 2.9 Bohr magnetons per cell
energy of formation = 22.830 kcal/mol of atoms
SG = P4/mmm (123)

a b c (Å): 4.9930 4.9930 5.0970
angles (deg): 90.00 90.00 90.00
Fractional positions:
Re  0.0000  0.0000  0.5000
Ag  0.0000  0.0000  0.0000
K  0.5000  0.5000  0.5000
Li  0.0000  0.5000  0.0000
Li  0.5000  0.0000  0.0000

=====

Record 2
Compound: FeNiAg2
Source: Alexandria
Functional: meta-GGA SCAN
Structure: single point on PBEsol structure

## Properties
energy relative to the lowest polymorph listed for this composition = 0.0 meV per atom
total energy = -23.91 eV per atom
total magnetic moment = 3.6 Bohr magnetons per cell
energy of formation = 8.026 kcal/mol of atoms
SG = Pmmm (47)

a b c (Å): 2.8061 4.4500 4.5158
angles (deg): 90.00 90.00 90.00
Fractional positions:
Fe  0.5000  0.0000  0.5000
Ni  0.0000  0.5000  0.5000
Ag  0.5000  0.5000  0.0000
Ag  0.0000  0.0000  0.0000

=====

Record 3
Compound: SrLa2Pb
Source: Alexandria
Functional: meta-GGA SCAN
Structure: single point on PBEsol structure

## Properties
total energy = -46.29 eV per atom
total magnetic moment = 0.0 Bohr magnetons per cell
energy of formation = -5.251 kcal/mol of atoms
SG = Cmmm (65)

a b c (Å): 3.6109 6.3110 6.3110
angles (deg): 112.40 90.00 90.00
Fractional positions:
Sr  0.5000  0.5000  0.5000
La  0.0000  0.0000  0.5000
Pb  0.5000  0.0000  0.0000
La  0.0000  0.5000  0.0000

=====

Record 4
Compound: TlAu
Source: Alexandria
Functional: meta-GGA SCAN
Structure: single point on PBEsol structure

## Properties
total energy = -70.76 eV per atom
total magnetic moment = 0.0 Bohr magnetons per cell
energy of formation = -0.145 kcal/mol of atoms
SG = Pnma (62)

a b c (Å): 4.1325 5.6943 8.0986
angles (deg): 90.00 90.00 90.00
Fractional positions:
Au  0.2500  0.2433  0.8762
Au  0.2500  0.2567  0.3762
Tl  0.7500  0.2568  0.1262
Tl  0.2500  0.7568  0.3738
Au  0.7500  0.7567  0.1238
Tl  0.7500  0.2432  0.6262
Au  0.7500  0.7433  0.6238
Tl  0.2500  0.7432  0.8738

=====

Record 5
Compound: MnAuSe2
Source: Alexandria
Functional: meta-GGA SCAN
Structure: single point on PBEsol structure

## Properties
total energy = -32.26 eV per atom
total magnetic moment = 3.1 Bohr magnetons per cell
E_form (uncorrected) = -364.2 meV/atom
SG = R-3m (166)

a b c (Å): 3.4154 3.4154 7.8769
angles (deg): 77.48 77.48 60.00
Fractional positions:
Se  0.1066  0.1066  0.6803
Au  0.0000  0.0000  0.0000
Mn  0.5000  0.5000  0.5000
Se  0.8934  0.8934  0.3197

=====

Record 6
Compound: HoFeNi4
Source: Alexandria
Functional: meta-GGA SCAN
Structure: single point on PBEsol structure

## Properties
total energy = -22.25 eV per atom
total magnetic moment = 4.4 Bohr magnetons per cell
energy of formation = -6.451 kcal/mol of atoms
SG = P-6m2 (187)

a b c (Å): 3.8820 4.8360 4.8360
angles (deg): 120.00 90.00 90.00
Fractional positions:
Ni  0.5000  0.8330  0.6660
Ni  0.0000  0.6667  0.3333
Ni  0.5000  0.8330  0.1670
Ni  0.5000  0.3340  0.1670
Ho  0.0000  0.3333  0.6667
Fe  0.0000  0.0000  0.0000

=====

Record 7
Compound: Y2AgSn2
Source: Alexandria
Functional: meta-GGA SCAN
Structure: single point on PBEsol structure

## Properties
total energy = -32.47 eV per atom
total magnetic moment = 0.0 Bohr magnetons per cell
energy of formation = -15.931 kcal/mol of atoms
SG = P4/mbm (127)

a b c (Å): 4.5459 7.3328 7.3328
angles (deg): 90.00 90.00 90.00
Fractional positions:
Y  0.5000  0.8304  0.3304
Y  0.5000  0.6696  0.8304
Sn  0.0000  0.1378  0.3622
Ag  0.0000  0.0000  0.0000
Sn  0.0000  0.6378  0.1378
Y  0.5000  0.3304  0.1696
Ag  0.0000  0.5000  0.5000
Sn  0.0000  0.8622  0.6378
Y  0.5000  0.1696  0.6696
Sn  0.0000  0.3622  0.8622

=====

Record 8
Compound: Y7Zn
Source: Alexandria
Functional: meta-GGA SCAN
Structure: single point on PBEsol structure

## Properties
total energy = -26.13 eV per atom
total magnetic moment = 0.5 Bohr magnetons per cell
energy of formation = -1.774 kcal/mol of atoms
SG = P4mm (99)

a b c (Å): 3.5131 3.5131 18.4704
angles (deg): 90.00 90.00 90.00
Fractional positions:
Y  0.0000  0.0000  0.8654
Y  0.0000  0.0000  0.4057
Zn  0.5000  0.5000  0.5002
Y  0.0000  0.0000  0.5945
Y  0.0000  0.0000  0.1344
Y  0.5000  0.5000  0.9999
Y  0.5000  0.5000  0.7321
Y  0.5000  0.5000  0.2679

=====

Record 9
Compound: YMn2Co
Source: Alexandria
Functional: meta-GGA SCAN
Structure: single point on PBEsol structure

## Properties
energy relative to the lowest polymorph listed for this composition = 121.3 meV per atom
total energy = -20.29 eV per atom
total magnetic moment = 7.8 Bohr magnetons per cell
energy of formation = 2.922 kcal/mol of atoms
SG = P4/mmm (123)

a b c (Å): 3.8342 3.8342 4.1892
angles (deg): 90.00 90.00 90.00
Fractional positions:
Mn  0.0000  0.5000  0.0000
Mn  0.5000  0.0000  0.0000
Y  0.5000  0.5000  0.5000
Co  0.0000  0.0000  0.5000

=====

Record 10
Compound: KB3Te
Source: Alexandria
Functional: meta-GGA SCAN
Structure: single point on PBEsol structure

## Properties
total energy = -10.42 eV per atom
total magnetic moment = 0.0 Bohr magnetons per cell
E_form (uncorrected) = 3153.8 meV/atom
SG = Pm-3m (221)

a b c (Å): 4.8500 4.8500 4.8500
angles (deg): 90.00 90.00 90.00
Fractional positions:
Te  0.5000  0.5000  0.5000
B  0.0000  0.0000  0.5000
B  0.0000  0.5000  0.0000
K  0.0000  0.0000  0.0000
B  0.5000  0.0000  0.0000

=====

Record 11
Compound: MnCdNi4
Source: Alexandria
Functional: meta-GGA SCAN
Structure: single point on PBEsol structure

## Properties
total energy = -18.98 eV per atom
total magnetic moment = 5.8 Bohr magnetons per cell
energy of formation = -2.043 kcal/mol of atoms
SG = F-43m (216)

a b c (Å): 4.7046 4.7046 4.7046
angles (deg): 60.00 60.00 60.00
Fractional positions:
Ni  0.8755  0.3748  0.3748
Ni  0.3748  0.3748  0.8755
Ni  0.3748  0.8755  0.3748
Cd  0.7500  0.7500  0.7500
Ni  0.3748  0.3748  0.3748
Mn  0.0000  0.0000  0.0000

=====

Record 12
Compound: NiAgAu3
Source: Alexandria
Functional: meta-GGA SCAN
Structure: single point on PBEsol structure

## Properties
total energy = -50.34 eV per atom
total magnetic moment = 0.3 Bohr magnetons per cell
energy of formation = 15.226 kcal/mol of atoms
SG = Pm-3m (221)

a b c (Å): 4.6451 4.6451 4.6451
angles (deg): 90.00 90.00 90.00
Fractional positions:
Au  0.0000  0.5000  0.0000
Au  0.0000  0.0000  0.5000
Ni  0.0000  0.0000  0.0000
Ag  0.5000  0.5000  0.5000
Au  0.5000  0.0000  0.0000